DFT (PBE-GGA) results for Ce2InBi after structural relaxation.

CIF file:
```
data_Ce2InBi
_chemical_formula_sum 'Ce4 In2 Bi2'
_symmetry_space_group_name_H-M 'C 1 2/m 1'
_symmetry_Int_Tables_number 12
_cell_length_a 7.589
_cell_length_b 4.365
_cell_length_c 8.509
_cell_angle_alpha 90.00
_cell_angle_beta 107.14
_cell_angle_gamma 90.00
loop_
_symmetry_equiv_pos_as_xyz
'x,y,z'
'-x,-y,-z'
'-x,y,-z'
'x,-y,z'
'x+1/2,y+1/2,z'
'-x+1/2,-y+1/2,-z'
'-x+1/2,y+1/2,-z'
'x+1/2,-y+1/2,z'
loop_
_atom_site_label
_atom_site_type_symbol
_atom_site_fract_x
_atom_site_fract_y
_atom_site_fract_z
Ce1 Ce 0.248 0.000 0.244
In1 In 0.000 0.000 0.500
Bi1 Bi 0.000 0.500 0.000
```

=====

DFT (PBE-GGA) results for CeInBi2 after structural relaxation.

CIF file:
```
data_CeInBi2
_chemical_formula_sum 'Ce3 In3 Bi6'
_symmetry_space_group_name_H-M 'R 3 m'
_symmetry_Int_Tables_number 160
_symmetry_space_group_name_Hall 'R 3 -2"'
_cell_length_a 4.8339
_cell_length_b 4.8339
_cell_length_c 20.4405
_cell_angle_alpha 90.00
_cell_angle_beta 90.00
_cell_angle_gamma 120.00
loop_
_atom_site_label
_atom_site_type_symbol
_atom_site_fract_x
_atom_site_fract_y
_atom_site_fract_z
Ce1 Ce 0.0000 0.0000 0.0000
In1 In 0.0000 0.0000 0.1689
Bi1 Bi 0.0000 0.0000 0.4082
Bi2 Bi 0.0000 0.0000 0.5852
```

=====

DFT (PBE-GGA) results for CeInBi2 after structural relaxation.

CIF file:
```
data_CeInBi2
_chemical_formula_sum 'Ce1 In1 Bi2'
_symmetry_space_group_name_H-M 'P 4/m m m'
_symmetry_Int_Tables_number 123
_symmetry_space_group_name_Hall '-P 4 2'
_cell_length_a 5.067
_cell_length_b 5.067
_cell_length_c 4.489
_cell_angle_alpha 90.00
_cell_angle_beta 90.00
_cell_angle_gamma 90.00
loop_
_atom_site_label
_atom_site_type_symbol
_atom_site_fract_x
_atom_site_fract_y
_atom_site_fract_z
Ce1 Ce 0.000 0.000 0.000
In1 In 0.500 0.500 0.000
Bi1 Bi 0.000 0.500 0.500
```

=====

DFT (PBE-GGA) results for Ce4InBi5 after structural relaxation.

CIF file:
```
data_Ce4InBi5
_chemical_formula_sum 'Ce8 In2 Bi10'
_symmetry_space_group_name_H-M 'I m m m'
_symmetry_Int_Tables_number 71
_symmetry_space_group_name_Hall '-I 2 2'
_cell_length_a 4.506
_cell_length_b 11.367
_cell_length_c 12.626
_cell_angle_alpha 90.00
_cell_angle_beta 90.00
_cell_angle_gamma 90.00
loop_
_atom_site_label
_atom_site_type_symbol
_atom_site_fract_x
_atom_site_fract_y
_atom_site_fract_z
Ce1 Ce 0.000 0.000 0.247
Ce2 Ce 0.000 0.291 0.500
In1 In 0.000 0.000 0.500
Bi1 Bi 0.000 0.000 0.000
Bi2 Bi 0.000 0.325 0.160
```

=====

DFT (PBE-GGA) results for CeInBi after structural relaxation.

CIF file:
```
data_CeInBi
_chemical_formula_sum 'Ce8 In8 Bi8'
_symmetry_space_group_name_H-M 'F m m m'
_symmetry_Int_Tables_number 69
_symmetry_space_group_name_Hall '-F 2 2'
_cell_length_a 6.418
_cell_length_b 6.584
_cell_length_c 18.353
_cell_angle_alpha 90.00
_cell_angle_beta 90.00
_cell_angle_gamma 90.00
loop_
_atom_site_label
_atom_site_type_symbol
_atom_site_fract_x
_atom_site_fract_y
_atom_site_fract_z
Ce1 Ce 0.000 0.000 0.155
In1 In 0.000 0.228 0.500
Bi1 Bi 0.000 0.000 0.333
```

=====

DFT (PBE-GGA) results for Ce6In5Bi after structural relaxation.

CIF file:
```
data_Ce6In5Bi
_chemical_formula_sum 'Ce12 In10 Bi2'
_symmetry_space_group_name_H-M 'I m m m'
_symmetry_Int_Tables_number 71
_symmetry_space_group_name_Hall '-I 2 2'
_cell_length_a 4.877
_cell_length_b 9.351
_cell_length_c 14.656
_cell_angle_alpha 90.00
_cell_angle_beta 90.00
_cell_angle_gamma 90.00
loop_
_atom_site_label
_atom_site_type_symbol
_atom_site_fract_x
_atom_site_fract_y
_atom_site_fract_z
Ce1 Ce 0.000 0.249 0.000
Ce2 Ce 0.000 0.251 0.333
In1 In 0.000 0.000 0.175
In2 In 0.000 0.000 0.500
In3 In 0.000 0.500 0.166
Bi1 Bi 0.000 0.500 0.500
```

=====

DFT (PBE-GGA) results for CeIn3Bi after structural relaxation.

CIF file:
```
data_CeIn3Bi
_chemical_formula_sum 'Ce2 In6 Bi2'
_symmetry_space_group_name_H-M 'C 1 2/m 1'
_symmetry_Int_Tables_number 12
_cell_length_a 10.892
_cell_length_b 6.666
_cell_length_c 6.395
_cell_angle_alpha 90.00
_cell_angle_beta 124.23
_cell_angle_gamma 90.00
loop_
_symmetry_equiv_pos_as_xyz
'x,y,z'
'-x,-y,-z'
'-x,y,-z'
'x,-y,z'
'x+1/2,y+1/2,z'
'-x+1/2,-y+1/2,-z'
'-x+1/2,y+1/2,-z'
'x+1/2,-y+1/2,z'
loop_
_atom_site_label
_atom_site_type_symbol
_atom_site_fract_x
_atom_site_fract_y
_atom_site_fract_z
Ce1 Ce 0.000 0.000 0.000
In1 In 0.000 0.500 0.000
In2 In 0.250 0.250 0.500
Bi1 Bi 0.000 0.000 0.500
```

=====

DFT (PBE-GGA) results for Ce2InBi after structural relaxation.

CIF file:
```
data_Ce2InBi
_chemical_formula_sum 'Ce2 In1 Bi1'
_symmetry_space_group_name_H-M 'P 4/m m m'
_symmetry_Int_Tables_number 123
_symmetry_space_group_name_Hall '-P 4 2'
_cell_length_a 4.166
_cell_length_b 4.166
_cell_length_c 6.790
_cell_angle_alpha 90.00
_cell_angle_beta 90.00
_cell_angle_gamma 90.00
loop_
_atom_site_label
_atom_site_type_symbol
_atom_site_fract_x
_atom_site_fract_y
_atom_site_fract_z
Ce1 Ce 0.000 0.000 0.246
In1 In 0.500 0.500 0.000
Bi1 Bi 0.500 0.500 0.500
```

=====

no.,DFT total energy (eV/cell),E_form (meV per atom)
1,-39.9,-369
2,-52.1,-231
3,-18.3,-464
4,-103.5,-587
5,-109.0,-359
6,-115.9,-398
7,-35.2,84
8,-20.4,-490